Compound: SmHoNi2P2
Source: the Open Quantum Materials Database
Functional: PBE
Structure: optimized geometry

Cell lengths 3.906, 3.906, 7.838 Å; angles 90.00, 90.00, 120.00 degrees
Sites, in units of the cell vectors:
Ho1 0.000 0.000 0.500
Ni1 0.333 0.667 0.256
Ni2 0.667 0.333 0.744
P1 0.667 0.333 0.259
P2 0.333 0.667 0.741
Sm1 0.000 0.000 0.000

Output
SG: P-3m1, No. 164
E (eV/atom): -6.4168
Crystal system: trigonal

=====

Compound: SrHoNi2P2
Source: the Open Quantum Materials Database
Functional: PBE
Structure: optimized geometry

Cell lengths 3.907, 3.907, 8.267 Å; angles 90.00, 90.00, 120.00 degrees
Sites, in units of the cell vectors:
Ho1 0.000 0.000 0.000
Ni1 0.333 0.667 0.228
Ni2 0.667 0.333 0.772
P1 0.667 0.333 0.229
P2 0.333 0.667 0.771
Sr1 0.000 0.000 0.500

Output
SG: P-3m1, No. 164
E (eV/atom): -5.7597
Crystal system: trigonal

=====

Compound: YHoNi2P4
Source: the Open Quantum Materials Database
Functional: PBE
Structure: optimized geometry

Cell lengths 3.723, 3.723, 9.421 Å; angles 90.00, 90.00, 90.00 degrees
Sites, in units of the cell vectors:
Ho1 0.000 0.000 0.733
Ni1 0.500 0.000 0.999
Ni2 0.000 0.500 0.999
P1 0.000 0.000 0.136
P2 0.500 0.000 0.502
P3 0.000 0.500 0.502
P4 0.500 0.500 0.861
Y1 0.500 0.500 0.268

Output
SG: P4mm, No. 99
E (eV/atom): -6.4569
Crystal system: tetragonal

=====

Compound: HoPaNi
Source: the Open Quantum Materials Database
Functional: PBE
Structure: optimized geometry

Cell lengths 4.642, 4.642, 4.642 Å; angles 60.00, 60.00, 60.00 degrees
Site moments in Bohr magnetons follow the coordinates.
Sites, in units of the cell vectors:
Ho1 0.000 0.000 0.000  -0.02
Ni1 0.250 0.250 0.250  0.00
Pa1 0.500 0.500 0.500  -0.10

Output
SG: F-43m, No. 216
Crystal system: cubic
Formation energy (eV per atom): 0.162

=====

Compound: Ho2PaNi9
Source: the Open Quantum Materials Database
Functional: PBE
Structure: optimized geometry

Cell lengths 8.618, 8.618, 8.618 Å; angles 33.12, 33.12, 33.12 degrees
Sites, in units of the cell vectors:
Ho1 0.139 0.139 0.139
Ho2 0.861 0.861 0.861
Ni1 0.583 0.583 0.081
Ni2 0.333 0.333 0.333
Ni3 0.417 0.919 0.417
Ni4 0.919 0.417 0.417
Ni5 0.500 0.500 0.500
Ni6 0.583 0.081 0.583
Ni7 0.081 0.583 0.583
Ni8 0.667 0.667 0.667
Ni9 0.417 0.417 0.919
Pa1 0.000 0.000 0.000

Output
SG: R-3m, No. 166
Crystal system: trigonal
Formation energy (eV per atom): -0.441

=====

Compound: Ho5NiPb3
Source: the Open Quantum Materials Database
Functional: PBE
Structure: optimized geometry

Cell lengths 9.121, 9.121, 6.677 Å; angles 90.00, 90.00, 120.00 degrees
Sites, in units of the cell vectors:
Ho1 0.667 0.333 0.000
Ho2 0.333 0.667 0.000
Ho3 0.762 0.762 0.250
Ho4 0.238 0.000 0.250
Ho5 0.000 0.238 0.250
Ho6 0.667 0.333 0.500
Ho7 0.333 0.667 0.500
Ho8 0.238 0.238 0.750
Ho9 0.762 0.000 0.750
Ho10 0.000 0.762 0.750
Ni1 0.000 0.000 0.000
Ni2 0.000 0.000 0.500
Pb1 0.600 0.000 0.250
Pb2 0.000 0.600 0.250
Pb3 0.400 0.400 0.250
Pb4 0.400 0.000 0.750
Pb5 0.000 0.400 0.750
Pb6 0.600 0.600 0.750

Output
SG: P6_3/mcm, No. 193
E (eV/atom): -4.9218
Crystal system: hexagonal

=====

Compound: Ho2NiPb6
Source: the Open Quantum Materials Database
Functional: PBE
Structure: optimized geometry

Cell lengths 11.826, 11.826, 4.647 Å; angles 90.00, 90.00, 157.92 degrees
Sites, in units of the cell vectors:
Ho1 0.683 0.317 0.500
Ho2 0.317 0.683 0.500
Ni1 0.000 0.000 0.000
Pb1 0.798 0.202 0.000
Pb2 0.572 0.428 0.000
Pb3 0.428 0.572 0.000
Pb4 0.202 0.798 0.000
Pb5 0.929 0.071 0.500
Pb6 0.071 0.929 0.500

Output
SG: Cmmm, No. 65
E (eV/atom): -4.3020
Crystal system: orthorhombic

=====

Compound: Ho2Ni2Pb
Source: the Open Quantum Materials Database
Functional: PBE
Structure: optimized geometry

Cell lengths 3.662, 7.382, 7.382 Å; angles 31.26, 90.00, 90.00 degrees
Sites, in units of the cell vectors:
Ho1 0.500 0.359 0.359
Ho2 0.500 0.640 0.640
Ni1 0.000 0.201 0.201
Ni2 0.000 0.800 0.800
Pb1 0.000 0.000 0.000

Output
SG: Amm2, No. 38
E (eV/atom): -5.3245
Crystal system: orthorhombic

=====

Compound: Ho3NiPd2Pb3
Source: the Open Quantum Materials Database
Functional: PBE
Structure: optimized geometry

Cell lengths 7.750, 7.750, 3.801 Å; angles 90.00, 90.00, 120.00 degrees
Sites, in units of the cell vectors:
Ho1 0.599 0.000 0.000
Ho2 0.401 0.401 0.000
Ho3 0.000 0.599 0.000
Ni1 0.000 0.000 0.000
Pb1 0.257 0.000 0.500
Pb2 0.000 0.257 0.500
Pb3 0.743 0.743 0.500
Pd1 0.667 0.333 0.500
Pd2 0.333 0.667 0.500

Output
SG: P-62m, No. 189
E (eV/atom): -5.1801
Crystal system: hexagonal

=====

Compound: Y2HoNiPd2Pb3
Source: the Open Quantum Materials Database
Functional: PBE
Structure: optimized geometry

Cell lengths 3.796, 7.794, 7.794 Å; angles 119.81, 90.00, 90.00 degrees
Sites, in units of the cell vectors:
Ho1 0.000 0.601 0.601
Ni1 0.000 0.999 0.999
Pb1 0.500 0.741 0.000
Pb2 0.500 0.258 0.258
Pb3 0.500 0.000 0.741
Pd1 0.500 0.666 0.336
Pd2 0.500 0.336 0.666
Y1 0.000 0.000 0.399
Y2 0.000 0.399 0.000

Output
SG: Amm2, No. 38
E (eV/atom): -5.6070
Crystal system: orthorhombic

=====

Compound: PrHoNi2Pb
Source: the Open Quantum Materials Database
Functional: PBE
Structure: optimized geometry

Cell lengths 3.749, 7.532, 7.532 Å; angles 31.01, 90.00, 90.00 degrees
Sites, in units of the cell vectors:
Ho1 0.500 0.359 0.359
Ni1 0.000 0.207 0.207
Ni2 0.000 0.802 0.802
Pb1 0.000 0.995 0.995
Pr1 0.500 0.638 0.638

Output
SG: Amm2, No. 38
E (eV/atom): -5.3083
Crystal system: orthorhombic

=====

Compound: HoScNi2Pb
Source: the Open Quantum Materials Database
Functional: PBE
Structure: optimized geometry

Cell lengths 3.560, 7.302, 7.302 Å; angles 31.19, 90.00, 90.00 degrees
Sites, in units of the cell vectors:
Ho1 0.500 0.359 0.359
Ni1 0.000 0.197 0.197
Ni2 0.000 0.798 0.798
Pb1 0.000 0.004 0.004
Sc1 0.500 0.642 0.642

Output
SG: Amm2, No. 38
E (eV/atom): -5.6432
Crystal system: orthorhombic

=====

Calculated mass density, 7.93, 6.56, 6.29, 10.67, 10.63, 10.39, 11.09, 10.50, 11.66, 10.26, 9.55, 9.03 g/cm3 (same order as the records).